DFT (PBE-GGA) results for crystalline Hf2InRh at its relaxed geometry.

Calculated values
For the energy relative to the elements, the calculation gives -0.468 eV per atom. As for the space-group type: P4/mmm. The value obtained for the magnetic moment is 0.00 μB/cell.

Cell lengths 3.0846, 3.0846, 8.2136 Å; angles 90.00, 90.00, 90.00 degrees
Last column: nearest neighbours and their distance in Å.
Element x y z (fractional)
Hf  0.0000  0.0000  0.2192  4 Rh 2.83, 4 Hf 3.08
Hf  0.0000  0.0000  0.7808  4 Rh 2.83, 4 Hf 3.08
Rh  0.5000  0.5000  0.0000  8 Hf 2.83, 4 Rh 3.08
In  0.5000  0.5000  0.5000  4 In 3.08, 8 Hf 3.17